{"formula": "Cs2KPdBr6", "functional": "PBE", "state": "relaxed", "de_polymorph_ev_per_atom": 0.000, "space_group": "R-3m (166)", "m_tot_mub_per_fu": 0.932, "mass_density_g_cm3": 3.7, "formation_energy_uncorrected_ev_per_atom": -1.155, "lattice": [[-6.6382, 2.0078, 3.5013], [-2.6995, -4.2332, 5.9287], [4.7207, 8.0231, 12.9684]], "species": ["Cs", "Cs", "Cs", "Cs", "K", "K", "Pd", "Pd", "Br", "Br", "Br", "Br", "Br", "Br", "Br", "Br", "Br", "Br", "Br", "Br"], "fractional_positions": [[0.8649, 0.8649, 0.4053], [0.1351, 0.1351, 0.5947], [0.6953, 0.6953, 0.9141], [0.3047, 0.3047, 0.0859], [0.5851, 0.5851, 0.2446], [0.4149, 0.4149, 0.7554], [0.0000, 0.0000, 0.0000], [0.5000, 0.5000, 0.5000], [0.8505, 0.3731, 0.4034], [0.3731, 0.8505, 0.4034], [0.3731, 0.3731, 0.4034], [0.1495, 0.6269, 0.5966], [0.6269, 0.1495, 0.5966], [0.6269, 0.6269, 0.5966], [0.7202, 0.1897, 0.9004], [0.1897, 0.7202, 0.9004], [0.1897, 0.1897, 0.9004], [0.2798, 0.8103, 0.0996], [0.8103, 0.2798, 0.0996], [0.8103, 0.8103, 0.0996]]}

{"formula": "In2PbAu", "functional": "PBE", "state": "relaxed", "space_group": "Imm2 (44)", "formation_enthalpy_0k_kj_per_mol_atoms": -3.3, "m_tot_mub_per_fu": 0.000, "mass_density_g_cm3": 9.9, "lattice": [[7.0045, 0.6515, -0.1191], [4.0797, 5.7309, 0.1191], [-5.0947, -3.9681, 2.7927]], "species": ["Au", "In", "In", "Pb"], "fractional_positions": [[0.7569, 0.2569, 0.5000], [0.9410, 0.9410, 0.0000], [0.2482, 0.7482, 0.5000], [0.5538, 0.5538, 0.0000]]}

{"formula": "AlPdO2", "functional": "PBE", "state": "relaxed", "space_group": "I4_1/amd (141)", "m_tot_mub_per_fu": 0.000, "mass_density_g_cm3": 6.4, "formation_energy_uncorrected_ev_per_atom": -1.332, "lattice": [[-3.3103, -0.1929, 2.6928], [-2.3570, -1.8711, -3.0315], [-1.3820, -5.2609, 1.3122]], "species": ["O", "O", "O", "O", "Al", "Al", "Pd", "Pd"], "fractional_positions": [[0.6989, 0.6989, 0.6022], [0.0511, 0.5511, 0.8978], [0.3011, 0.3011, 0.3978], [0.4489, 0.9489, 0.1022], [0.5000, 0.5000, 0.0000], [0.2500, 0.7500, 0.5000], [0.0000, 0.0000, 0.0000], [0.7500, 0.2500, 0.5000]]}

{"formula": "MgCu2Te", "functional": "PBE", "state": "relaxed", "de_polymorph_ev_per_atom": 0.188, "space_group": "Fm-3m (225)", "m_tot_mub_per_fu": 0.000, "mass_density_g_cm3": 6.3, "formation_energy_uncorrected_ev_per_atom": 0.136, "lattice": [[0.0000, 3.3189, 3.3189], [3.3189, 0.0000, 3.3189], [3.3189, 3.3189, 0.0000]], "species": ["Mg", "Te", "Cu", "Cu"], "fractional_positions": [[0.0000, 0.0000, 0.0000], [0.5000, 0.5000, 0.5000], [0.2500, 0.2500, 0.2500], [0.7500, 0.7500, 0.7500]]}

{"formula": "PmPrY2Se6", "functional": "PBE", "state": "relaxed", "space_group": "R3 (146)", "m_tot_mub_per_fu": 0.000, "mass_density_g_cm3": 5.1, "formation_energy_uncorrected_ev_per_atom": -1.852, "lattice": [[-4.1002, -2.5908, 5.5326], [-4.7946, -5.4476, -1.2114], [1.6714, -7.0673, 2.8218]], "species": ["Pm", "Pr", "Y", "Y", "Se", "Se", "Se", "Se", "Se", "Se"], "fractional_positions": [[0.8144, 0.8144, 0.5568], [0.3121, 0.3121, 0.0637], [0.5131, 0.5130, 0.4608], [0.0144, 0.0145, 0.9567], [0.6294, 0.2278, 0.2464], [0.2278, 0.8964, 0.2464], [0.8965, 0.6294, 0.2464], [0.4033, 0.7282, 0.7460], [0.7282, 0.1224, 0.7460], [0.1225, 0.4034, 0.7460]]}

{"formula": "Tl2Sn2Au", "functional": "PBE", "state": "relaxed", "de_polymorph_ev_per_atom": 0.002, "space_group": "P-3m1 (164)", "formation_enthalpy_0k_kj_per_mol_atoms": -3.2, "m_tot_mub_per_fu": 0.000, "mass_density_g_cm3": 9.5, "lattice": [[-0.2232, -4.2393, 1.5733], [3.4662, 1.2606, -2.6255], [4.2845, 2.2799, 6.7511]], "species": ["Tl", "Tl", "Sn", "Sn", "Au"], "fractional_positions": [[0.3333, 0.6667, 0.6275], [0.6667, 0.3333, 0.3725], [0.3333, 0.6667, 0.1374], [0.6667, 0.3333, 0.8626], [0.0000, 0.0000, 0.0000]]}

{"formula": "Y2Mg4Sc", "functional": "PBE", "state": "relaxed", "de_polymorph_ev_per_atom": 0.358, "space_group": "I4/mmm (139)", "formation_enthalpy_0k_kj_per_mol_atoms": 49.1, "m_tot_mub_per_fu": 0.001, "mass_density_g_cm3": 2.4, "lattice": [[-2.9518, -2.7205, -3.4644], [4.3356, -1.0576, -2.8635], [0.4811, -4.7840, 7.4047]], "species": ["Y", "Y", "Mg", "Mg", "Mg", "Mg", "Sc"], "fractional_positions": [[0.6101, 0.6101, 0.2201], [0.3899, 0.3899, 0.7799], [0.8192, 0.8192, 0.6384], [0.1808, 0.1808, 0.3616], [0.0000, 0.5000, 0.0000], [0.5000, 0.0000, 0.0000], [0.0000, 0.0000, 0.0000]]}

{"formula": "Mg3FeN3", "functional": "PBE", "state": "relaxed", "space_group": "Cmcm (63)", "m_tot_mub_per_fu": 2.975, "mass_density_g_cm3": 3.5, "formation_energy_uncorrected_ev_per_atom": -0.502, "lattice": [[6.1420, 0.1591, 0.0000], [-0.9980, 6.0562, 0.0000], [0.0000, 0.0000, 4.3676]], "species": ["Mg", "Mg", "Mg", "Mg", "Mg", "Mg", "Fe", "Fe", "N", "N", "N", "N", "N", "N"], "fractional_positions": [[0.8531, 0.6152, 0.2500], [0.8913, 0.1086, 0.2500], [0.3845, 0.1475, 0.2500], [0.1469, 0.3848, 0.7500], [0.1087, 0.8914, 0.7500], [0.6155, 0.8525, 0.7500], [0.6830, 0.3169, 0.7500], [0.3170, 0.6831, 0.2500], [0.8397, 0.5906, 0.7500], [0.8778, 0.1220, 0.7500], [0.4093, 0.1609, 0.7500], [0.1603, 0.4094, 0.2500], [0.1222, 0.8780, 0.2500], [0.5907, 0.8391, 0.2500]]}

{"formula": "YLuTiAl", "functional": "PBE", "state": "relaxed", "space_group": "F-43m (216)", "formation_enthalpy_0k_kj_per_mol_atoms": -6.0, "m_tot_mub_per_fu": 2.648, "mass_density_g_cm3": 6.0, "lattice": [[5.1026, 0.0000, 0.0000], [2.5513, 4.4190, 0.0000], [2.5513, 1.4730, 4.1662]], "species": ["Y", "Lu", "Al", "Ti"], "fractional_positions": [[0.5000, 0.5000, 0.5000], [0.0000, 0.0000, 0.0000], [0.7500, 0.7500, 0.7500], [0.2500, 0.2500, 0.2500]]}

{"formula": "AcDyCdAg", "functional": "PBE", "state": "relaxed", "de_polymorph_ev_per_atom": 0.000, "space_group": "P4mm (99)", "formation_enthalpy_0k_kj_per_mol_atoms": -27.2, "m_tot_mub_per_fu": 0.001, "mass_density_g_cm3": 8.9, "lattice": [[-3.5540, -1.3877, -0.2227], [1.1209, -3.1640, 1.8274], [-1.7328, 3.3392, 6.8444]], "species": ["Ac", "Dy", "Cd", "Ag"], "fractional_positions": [[0.5000, 0.5000, 0.1123], [0.5000, 0.5000, 0.5958], [0.0000, 0.0000, 0.8235], [0.0000, 0.0000, 0.3964]]}

{"formula": "Ca3SnAs2Rh9", "functional": "PBE", "state": "relaxed", "space_group": "P-3m1 (164)", "formation_enthalpy_0k_kj_per_mol_atoms": -22.2, "m_tot_mub_per_fu": 0.000, "mass_density_g_cm3": 6.9, "lattice": [[-4.2654, -3.6509, -2.8480], [1.3556, -0.9000, 6.0816], [-6.6955, 5.9692, 2.3758]], "species": ["Ca", "Ca", "Ca", "Sn", "As", "As", "Rh", "Rh", "Rh", "Rh", "Rh", "Rh", "Rh", "Rh", "Rh"], "fractional_positions": [[0.3333, 0.6667, 0.7152], [0.0000, 0.0000, 0.0000], [0.6667, 0.3333, 0.2848], [0.0000, 0.0000, 0.5000], [0.3333, 0.6667, 0.1687], [0.6667, 0.3333, 0.8313], [0.8606, 0.1394, 0.7357], [0.8606, 0.7212, 0.7357], [0.2788, 0.1394, 0.7357], [0.7212, 0.8606, 0.2643], [0.1394, 0.2788, 0.2643], [0.1394, 0.8606, 0.2643], [0.5000, 0.0000, 0.0000], [0.0000, 0.5000, 0.0000], [0.5000, 0.5000, 0.0000]]}

{"formula": "BaSn3Rh2", "functional": "PBE", "state": "relaxed", "space_group": "R-3m (166)", "formation_enthalpy_0k_kj_per_mol_atoms": -30.0, "m_tot_mub_per_fu": 0.000, "mass_density_g_cm3": 7.6, "lattice": [[-5.9585, -2.7085, 0.7012], [-0.5631, -6.4427, 1.2272], [-1.9140, -1.5447, 8.6668]], "species": ["Ba", "Ba", "Sn", "Sn", "Sn", "Sn", "Sn", "Sn", "Rh", "Rh", "Rh", "Rh"], "fractional_positions": [[0.7924, 0.7924, 0.6227], [0.2076, 0.2076, 0.3773], [0.2619, 0.7521, 0.2340], [0.7521, 0.2619, 0.2340], [0.7521, 0.7521, 0.2340], [0.2479, 0.7381, 0.7660], [0.7381, 0.2479, 0.7660], [0.2479, 0.2479, 0.7660], [0.0000, 0.0000, 0.0000], [0.0000, 0.5000, 0.0000], [0.5000, 0.5000, 0.0000], [0.5000, 0.0000, 0.0000]]}

{"formula": "PrY2Cd2", "functional": "PBE", "state": "relaxed", "de_polymorph_ev_per_atom": 0.239, "space_group": "I4/mmm (139)", "formation_enthalpy_0k_kj_per_mol_atoms": -2.5, "m_tot_mub_per_fu": 0.000, "mass_density_g_cm3": 5.7, "lattice": [[-1.4586, -1.8490, -4.4337], [4.5800, 0.8625, -1.8664], [2.0564, -10.9569, 6.7351]], "species": ["Pr", "Pr", "Y", "Y", "Y", "Y", "Cd", "Cd", "Cd", "Cd"], "fractional_positions": [[0.6275, 0.6275, 0.2550], [0.3725, 0.3725, 0.7450], [0.7500, 0.2500, 0.5000], [0.9285, 0.9285, 0.8571], [0.0715, 0.0715, 0.1429], [0.2500, 0.7500, 0.5000], [0.0000, 0.5000, 0.0000], [0.1835, 0.1835, 0.3671], [0.5000, 0.0000, 0.0000], [0.8165, 0.8165, 0.6329]]}

{"formula": "KBaAs", "functional": "PBE", "state": "relaxed", "space_group": "Pnma (62)", "formation_enthalpy_0k_kj_per_mol_atoms": -75.6, "m_tot_mub_per_fu": 0.000, "mass_density_g_cm3": 3.6, "lattice": [[-8.6280, 0.9062, 0.3132], [-0.5841, -4.4877, -3.1047], [-0.2862, -5.4822, 7.9781]], "species": ["K", "K", "K", "K", "As", "As", "As", "As", "Ba", "Ba", "Ba", "Ba"], "fractional_positions": [[0.5144, 0.2500, 0.6725], [0.9856, 0.7500, 0.1725], [0.4856, 0.7500, 0.3275], [0.0144, 0.2500, 0.8275], [0.2773, 0.2500, 0.0924], [0.2227, 0.7500, 0.5924], [0.7227, 0.7500, 0.9076], [0.7773, 0.2500, 0.4076], [0.6584, 0.2500, 0.0883], [0.8416, 0.7500, 0.5883], [0.3416, 0.7500, 0.9117], [0.1584, 0.2500, 0.4117]]}

{"formula": "LiLa2ZnCo", "functional": "PBE", "state": "relaxed", "de_polymorph_ev_per_atom": 0.000, "space_group": "P4/mmm (123)", "formation_enthalpy_0k_kj_per_mol_atoms": -9.6, "m_tot_mub_per_fu": 0.000, "mass_density_g_cm3": 5.1, "lattice": [[5.2505, 0.0000, 0.0000], [0.0000, 5.2505, 0.0000], [0.0000, 0.0000, 4.8107]], "species": ["Zn", "Li", "Co", "La", "La"], "fractional_positions": [[0.0000, 0.0000, 0.5000], [0.5000, 0.5000, 0.5000], [0.0000, 0.0000, 0.0000], [0.0000, 0.5000, 0.0000], [0.5000, 0.0000, 0.0000]]}

{"formula": "SrCo2Te", "functional": "PBE", "state": "relaxed", "space_group": "F-43m (216)", "m_tot_mub_per_fu": 3.636, "mass_density_g_cm3": 6.5, "formation_energy_uncorrected_ev_per_atom": 0.507, "lattice": [[-3.8011, 3.1432, 0.3575], [-4.1176, -1.3596, 2.3775], [-1.1222, 2.0368, 4.3644]], "species": ["Co", "Co", "Sr", "Te"], "fractional_positions": [[0.0000, 0.0000, 0.0000], [0.2500, 0.2500, 0.2500], [0.5000, 0.5000, 0.5000], [0.7500, 0.7500, 0.7500]]}

{"formula": "CrIn2Tc", "functional": "PBE", "state": "relaxed", "de_polymorph_ev_per_atom": 0.165, "space_group": "Pmmm (47)", "formation_enthalpy_0k_kj_per_mol_atoms": 34.5, "m_tot_mub_per_fu": 4.521, "mass_density_g_cm3": 8.7, "lattice": [[3.4152, 0.0000, 0.0000], [0.0000, 3.3583, 0.5405], [0.0000, 2.3741, 6.6821]], "species": ["Cr", "In", "In", "Tc"], "fractional_positions": [[0.5000, 0.7500, 0.7500], [0.0000, 0.9919, 0.0085], [0.0000, 0.5081, 0.4915], [0.5000, 0.2500, 0.2500]]}

{"formula": "Hg2Sb3", "functional": "PBE", "state": "relaxed", "de_polymorph_ev_per_atom": 0.090, "space_group": "Fdd2 (43)", "m_tot_mub_per_fu": 0.000, "mass_density_g_cm3": 8.7, "formation_energy_uncorrected_ev_per_atom": 0.153, "lattice": [[2.6517, -6.0395, -6.8799], [1.9634, -7.3475, 0.3055], [-4.0572, -2.7342, -5.4661]], "species": ["Hg", "Hg", "Hg", "Hg", "Sb", "Sb", "Sb", "Sb", "Sb", "Sb"], "fractional_positions": [[0.4805, 0.4026, 0.7931], [0.3238, 0.7931, 0.4026], [0.8474, 0.7695, 0.9262], [0.4569, 0.9262, 0.7695], [0.4369, 0.2609, 0.4932], [0.8090, 0.4932, 0.2609], [0.9891, 0.8131, 0.4410], [0.7568, 0.4410, 0.8131], [0.9498, 0.0502, 0.0502], [0.1998, 0.3002, 0.3002]]}

{"formula": "NiICl2", "functional": "PBE", "state": "relaxed", "de_polymorph_ev_per_atom": 0.002, "space_group": "P1 (1)", "m_tot_mub_per_fu": 2.001, "mass_density_g_cm3": 3.9, "formation_energy_uncorrected_ev_per_atom": -0.359, "lattice": [[3.5314, 0.0470, -0.0190], [0.0822, 5.6737, -1.3293], [-0.0472, 0.4766, 10.8030]], "species": ["Ni", "Ni", "I", "I", "Cl", "Cl", "Cl", "Cl"], "fractional_positions": [[0.2851, 0.8423, 0.5519], [0.7851, 0.3423, 0.5520], [0.7270, 0.8486, 0.0512], [0.2862, 0.3424, 0.0512], [0.7853, 0.6351, 0.4274], [0.2851, 0.1351, 0.4274], [0.2838, 0.5492, 0.6761], [0.7840, 0.0492, 0.6761]]}

{"formula": "Ac3ScCu2O9", "functional": "PBE", "state": "relaxed", "space_group": "P-3m1 (164)", "m_tot_mub_per_fu": 0.000, "mass_density_g_cm3": 8.6, "formation_energy_uncorrected_ev_per_atom": -2.440, "lattice": [[-4.0627, 3.7314, 1.2624], [0.4877, -4.7744, 2.9984], [4.2978, 3.1948, 4.3882]], "species": ["Ac", "Ac", "Ac", "Sc", "Cu", "Cu", "O", "O", "O", "O", "O", "O", "O", "O", "O"], "fractional_positions": [[0.3333, 0.6667, 0.6752], [0.0000, 0.0000, 0.0000], [0.6667, 0.3333, 0.3248], [0.0000, 0.0000, 0.5000], [0.3333, 0.6667, 0.1639], [0.6667, 0.3333, 0.8361], [0.8308, 0.1692, 0.6731], [0.8308, 0.6616, 0.6731], [0.3384, 0.1692, 0.6731], [0.6616, 0.8308, 0.3269], [0.1692, 0.3384, 0.3269], [0.1692, 0.8308, 0.3269], [0.5000, 0.0000, 0.0000], [0.0000, 0.5000, 0.0000], [0.5000, 0.5000, 0.0000]]}